Record 1
Entry from OQMD via LeMat-Bulk: a relaxed Pr3Pd4 crystal (PBE-GGA).

Values from the calculation:
The formation energy comes out at -0.80 eV/atom. As for the space-group type: R-3 (148).

Cell and atoms, written as POSCAR:
```
Pr3Pd4
1.0
6.872 3.968 1.952
-6.872 3.968 1.952
0.000 -7.936 1.952
Pd Pr
8 6
Cartesian
-3.395 -0.664 4.226
2.272 -2.609 4.226
-1.123 -3.272 1.629
1.123 3.272 4.226
3.395 0.664 1.629
-2.272 2.609 1.629
0.000 0.000 2.928
0.000 0.000 0.000
0.858 2.502 1.390
2.596 0.508 4.466
-1.738 1.994 4.466
1.738 -1.994 1.390
-0.858 -2.502 4.466
-2.596 -0.508 1.390
```

Record 2
Entry from OQMD via LeMat-Bulk: a relaxed SrLiNiSb crystal (PBE-GGA).

Values from the calculation:
As for the space-group type: F-43m (216). The calculation puts the raw total energy at -3.716 eV/atom.

Cell and atoms, written as POSCAR:
```
SrLiNiSb
1.0
-3.883 -0.388 2.774
-4.258 1.472 -1.622
-3.394 -3.205 -1.067
Sb Ni Li Sr
1 1 1 1
Cartesian
0.000 0.000 0.000
-2.884 -0.530 0.021
-8.652 -1.591 0.064
-5.768 -1.061 0.043
```

Record 3
Entry from OQMD via LeMat-Bulk: a relaxed GdDySc2In2 crystal (PBE-GGA).

Values from the calculation:
As for the space-group type: P-3m1 (164). The calculation puts the raw total energy at -4.936 eV/atom.

Cell and atoms, written as POSCAR:
```
GdDySc2In2
1.0
-4.855 -1.445 1.159
3.956 -1.548 2.993
-0.712 5.371 3.718
Dy In Sc Gd
1 2 2 1
Cartesian
-0.356 2.686 1.859
-2.452 2.548 4.558
0.841 -0.170 3.312
-2.096 -0.136 2.700
0.485 2.514 5.169
0.000 0.000 0.000
```

Record 4
Entry from OQMD via LeMat-Bulk: a relaxed HfTcC2 crystal (PBE-GGA).

Values from the calculation:
As for the space-group type: P4/mmm (123). The calculation puts the raw total energy at -9.766 eV/atom.

Cell and atoms, written as POSCAR:
```
HfTcC2
1.0
-1.037 1.748 -2.436
-1.948 -2.352 -0.859
-3.209 1.710 2.594
Hf Tc C
1 1 2
Cartesian
0.000 0.000 0.000
-3.097 0.553 -0.351
-1.604 0.855 1.297
-1.493 -0.302 -1.647
```

Record 5
Entry from OQMD via LeMat-Bulk: a relaxed Nb3Sb5Pt5 crystal (PBE-GGA).

Values from the calculation:
As for the space-group type: C2 (5). The calculation puts the raw total energy at -6.709 eV/atom.

Cell and atoms, written as POSCAR:
```
Nb3Sb5Pt5
1.0
6.311 0.000 0.000
3.155 6.908 0.000
3.155 0.025 6.917
Sb Pt Nb
5 5 3
Cartesian
4.461 1.223 4.111
7.574 4.013 5.332
7.574 2.920 1.585
4.461 5.710 2.807
4.350 0.000 0.000
5.877 2.128 6.350
6.005 6.136 4.990
6.005 0.797 1.927
5.877 4.805 0.568
9.383 3.467 3.459
4.413 2.781 1.375
10.724 4.152 5.542
1.236 0.000 0.000
```

Record 6
Entry from OQMD via LeMat-Bulk: a relaxed Rb2LiHoCl6 crystal (PBE-GGA).

Values from the calculation:
As for the space-group type: Fm-3m (225). The calculation puts the raw total energy at -4.049 eV/atom.

Cell and atoms, written as POSCAR:
```
Rb2LiHoCl6
1.0
-0.557 -6.796 2.676
-3.118 -1.120 6.533
-6.554 -3.244 0.423
Ho Cl Rb Li
1 6 2 1
Cartesian
0.000 0.000 0.000
-5.828 -4.422 2.639
-2.857 -6.182 3.756
-4.125 -3.370 5.667
-6.104 -7.789 3.965
-7.373 -4.977 5.876
-4.402 -6.737 6.993
-2.557 -2.790 2.408
-7.672 -8.370 7.224
-5.115 -5.580 4.816
```

Record 7
Entry from OQMD via LeMat-Bulk: a relaxed Tl2Cd2O5 crystal (PBE-GGA).

Values from the calculation:
As for the space-group type: P4/mmm (123). The calculation puts the raw total energy at -3.965 eV/atom.

Cell and atoms, written as POSCAR:
```
Tl2Cd2O5
1.0
8.592 0.000 0.000
0.000 4.021 0.000
0.000 0.000 4.021
O Cd Tl
5 2 2
Cartesian
7.247 0.000 2.010
1.345 0.000 2.010
1.345 2.010 0.000
4.296 2.010 2.010
7.247 2.010 0.000
6.494 2.010 2.010
2.098 2.010 2.010
0.000 0.000 0.000
4.296 0.000 0.000
```

Record 8
Entry from OQMD via LeMat-Bulk: a relaxed Sr2LiHf crystal (PBE-GGA).

Values from the calculation:
As for the space-group type: F-43m (216). The calculation puts the raw total energy at -3.115 eV/atom.

Cell and atoms, written as POSCAR:
```
Sr2LiHf
1.0
0.000 4.023 4.023
4.023 0.000 4.023
4.023 4.023 0.000
Sr Hf Li
2 1 1
Cartesian
0.000 0.000 0.000
6.034 6.034 6.034
2.011 2.011 2.011
4.023 4.023 4.023
```

Repeat the third record exactly.
Entry from OQMD via LeMat-Bulk: a relaxed GdDySc2In2 crystal (PBE-GGA).

Values from the calculation:
As for the space-group type: P-3m1 (164). The calculation puts the raw total energy at -4.936 eV/atom.

Cell and atoms, written as POSCAR:
```
GdDySc2In2
1.0
-4.855 -1.445 1.159
3.956 -1.548 2.993
-0.712 5.371 3.718
Dy In Sc Gd
1 2 2 1
Cartesian
-0.356 2.686 1.859
-2.452 2.548 4.558
0.841 -0.170 3.312
-2.096 -0.136 2.700
0.485 2.514 5.169
0.000 0.000 0.000
```